## GdDyGe4 (PBE)

Data for GdDyGe4 after structural relaxation.

Summary:
formation enthalpy at 0 K	-2.032	eV/f.u.
electronic total energy	-39.18	eV for the cell shown

Cell and atoms, written as extended XYZ:
```
6
Lattice="0.0000 3.9883 3.9883 3.9883 0.0000 3.9883 3.9883 3.9883 0.0000" Properties=species:S:1:pos:R:3 pbc="T T T"
Gd 0.0000 0.0000 0.0000
Dy 5.9825 5.9825 5.9825
Ge 2.9939 2.9939 2.9939
Ge 4.9827 4.9827 2.9939
Ge 4.9827 2.9939 4.9827
Ge 2.9939 4.9827 4.9827
```